{
  "formula": "Cs2CoSiF",
  "functional": "PBE+U",
  "state": "optimized geometry",
  "final_energy_ev_per_atom": -3.16,
  "space_group": "P4/mmm",
  "rho_g_cm3": 3.386,
  "lattice": [[6.478, 0.000, 0.000], [0.000, 6.478, 0.000], [0.000, 0.000, 4.346]],
  "species": ["Cs", "Cs", "Co", "Si", "F"],
  "frac_coords": [[0.000, 0.500, 0.000], [0.500, 0.000, 0.000], [0.000, 0.000, 0.000], [0.000, 0.000, 0.500], [0.500, 0.500, 0.500]]
}